[1]
A relaxed structure of ScCoAg2Os, computed with PBE-GGA.

a b c (Å): 4.676 4.676 4.367
angles (deg): 90.00 90.00 90.00
Positions (direct):
Sc: 0.000 0.000 0.000
Co: 0.000 0.000 0.500
Ag: 0.000 0.500 0.500
Ag: 0.500 0.000 0.500
Os: 0.500 0.500 0.000

Values from the calculation:
Raw total energy ... -24.4 eV per cell
Space group ... P4/mmm
Offset from the most stable computed form ... 0 meV per atom
ΔE_f ... 1185 meV per atom


[2]
A relaxed structure of Pu4CdRhAu2, computed with PBE-GGA.

a b c (Å): 8.733 8.733 8.733
angles (deg): 34.51 34.51 34.51
Positions (direct):
Pu: 0.110 0.110 0.110
Pu: 0.362 0.362 0.362
Pu: 0.638 0.638 0.638
Pu: 0.890 0.890 0.890
Cd: 0.500 0.500 0.500
Rh: 0.000 0.000 0.000
Au: 0.236 0.236 0.236
Au: 0.764 0.764 0.764

Values from the calculation:
Raw total energy ... -74.5 eV per cell
Space group ... R-3m
ΔE_f ... -291 meV per atom


[3]
A relaxed structure of Cr2CuPt, computed with PBE-GGA.

a b c (Å): 2.622 2.622 8.200
angles (deg): 90.00 90.00 111.20
Positions (direct):
Cr: 0.000 0.000 0.000
Cr: 0.500 0.500 0.211
Cu: 0.500 0.500 0.748
Pt: 0.000 0.000 0.478

Values from the calculation:
Raw total energy ... -28.9 eV per cell
Space group ... Cmm2
ΔE_f ... 114 meV per atom


[4]
A relaxed structure of ZrZnFe, computed with PBE-GGA.

a b c (Å): 5.090 5.090 5.090
angles (deg): 120.24 119.18 90.50
Positions (direct):
Zr: 0.366 0.116 0.250
Zr: 0.634 0.884 0.750
Zn: 0.000 0.500 0.500
Zn: 0.500 0.500 0.000
Fe: 0.000 0.000 0.500
Fe: 0.000 0.500 0.000

Values from the calculation:
Raw total energy ... -37.7 eV per cell
Space group ... Imma
ΔE_f ... -191 meV per atom


[5]
A relaxed structure of PmBe3Pt3, computed with PBE-GGA.

a b c (Å): 6.184 6.184 6.184
angles (deg): 90.00 90.00 90.00
Positions (direct):
Pm: 0.000 0.000 0.000
Pm: 0.500 0.500 0.500
Be: 0.000 0.250 0.500
Be: 0.000 0.750 0.500
Be: 0.250 0.500 0.000
Be: 0.500 0.000 0.250
Be: 0.500 0.000 0.750
Be: 0.750 0.500 0.000
Pt: 0.000 0.500 0.250
Pt: 0.000 0.500 0.750
Pt: 0.250 0.000 0.500
Pt: 0.500 0.250 0.000
Pt: 0.500 0.750 0.000
Pt: 0.750 0.000 0.500

Values from the calculation:
Raw total energy ... -75.7 eV per cell
Space group ... Pm-3n
ΔE_f ... -543 meV per atom


[6]
A relaxed structure of ZrCo2SnS, computed with PBE-GGA.

a b c (Å): 4.559 4.559 5.750
angles (deg): 90.00 90.00 90.00
Positions (direct):
Zr: 0.000 0.000 0.000
Co: 0.000 0.500 0.000
Co: 0.500 0.000 0.000
Sn: 0.000 0.000 0.500
S: 0.500 0.500 0.500

Values from the calculation:
Raw formation energy ... 6.55 eV/f.u.
Raw total energy ... -24.3 eV per cell
Space group ... P4/mmm


[7]
A relaxed structure of ZrScSe, computed with PBE-GGA.

a b c (Å): 6.573 6.573 6.573
angles (deg): 30.87 30.87 30.87
Positions (direct):
Zr: 0.000 0.000 0.000
Sc: 0.800 0.800 0.800
Se: 0.567 0.567 0.567

Values from the calculation:
Raw formation energy ... -2.72 eV/f.u.
Raw total energy ... -21.1 eV per cell
Space group ... R3m
Offset from the most stable computed form ... 104 meV per atom


[8]
A relaxed structure of Tl6AgHg2, computed with PBE-GGA.

a b c (Å): 10.138 8.189 6.958
angles (deg): 83.60 53.39 43.01
Positions (direct):
Tl: 0.147 0.853 0.147
Tl: 0.182 0.499 0.501
Tl: 0.499 0.182 0.818
Tl: 0.501 0.818 0.182
Tl: 0.818 0.501 0.499
Tl: 0.853 0.147 0.853
Ag: 0.500 0.500 0.500
Hg: 0.171 0.171 0.829
Hg: 0.829 0.829 0.171

Values from the calculation:
Raw total energy ... -17.3 eV per cell
Space group ... Fmmm
ΔE_f ... 44 meV per atom


[9]
A relaxed structure of AcPr10Nd4, computed with PBE-GGA.

a b c (Å): 9.852 9.852 9.852
angles (deg): 97.35 97.35 138.10
Positions (direct):
Ac: 0.000 0.000 0.000
Pr: 0.045 0.882 0.423
Pr: 0.118 0.541 0.163
Pr: 0.250 0.750 0.500
Pr: 0.378 0.955 0.837
Pr: 0.459 0.622 0.577
Pr: 0.541 0.378 0.423
Pr: 0.622 0.045 0.163
Pr: 0.750 0.250 0.500
Pr: 0.882 0.459 0.837
Pr: 0.955 0.118 0.577
Nd: 0.322 0.567 0.888
Nd: 0.433 0.322 0.755
Nd: 0.567 0.678 0.245
Nd: 0.678 0.433 0.112

Values from the calculation:
Raw total energy ... -64.2 eV per cell
Space group ... I4/m
ΔE_f ... 453 meV per atom


[10]
A relaxed structure of MgAu2Cl, computed with PBE-GGA.

a b c (Å): 4.193 3.594 6.865
angles (deg): 90.00 91.87 90.00
Positions (direct):
Mg: 0.000 0.000 0.000
Au: 0.015 0.500 0.297
Au: 0.514 0.000 0.273
Cl: 0.988 0.500 0.767

Values from the calculation:
Raw formation energy ... -2.61 eV/f.u.
Raw total energy ... -12.6 eV per cell
Space group ... Pm
Offset from the most stable computed form ... 0 meV per atom


[11]
A relaxed structure of Li5Al2Pd12, computed with PBE-GGA.

a b c (Å): 7.231 7.231 6.204
angles (deg): 90.97 90.97 62.95
Positions (direct):
Li: 0.000 0.000 0.000
Li: 0.238 0.238 0.077
Li: 0.295 0.295 0.504
Li: 0.705 0.705 0.496
Li: 0.762 0.762 0.923
Al: 0.290 0.710 0.500
Al: 0.710 0.290 0.500
Pd: 0.032 0.663 0.254
Pd: 0.092 0.092 0.380
Pd: 0.175 0.567 0.834
Pd: 0.337 0.968 0.746
Pd: 0.433 0.825 0.166
Pd: 0.446 0.446 0.198
Pd: 0.554 0.554 0.802
Pd: 0.567 0.175 0.834
Pd: 0.663 0.032 0.254
Pd: 0.825 0.433 0.166
Pd: 0.908 0.908 0.620
Pd: 0.968 0.337 0.746

Values from the calculation:
Raw total energy ... -87.0 eV per cell
Space group ... C2/m
ΔE_f ... -400 meV per atom


[12]
A relaxed structure of GaAgPb2, computed with PBE-GGA.

a b c (Å): 6.789 6.789 6.789
angles (deg): 38.68 38.68 38.68
Positions (direct):
Ga: 0.000 0.000 0.000
Ag: 0.839 0.839 0.839
Pb: 0.249 0.249 0.249
Pb: 0.424 0.424 0.424

Values from the calculation:
Raw total energy ... -12.7 eV per cell
Space group ... R3m
ΔE_f ... 157 meV per atom


[13]
A relaxed structure of Nb3AuSe, computed with PBE-GGA.

a b c (Å): 4.731 4.731 4.731
angles (deg): 90.00 90.00 90.00
Positions (direct):
Nb: 0.000 0.000 0.500
Nb: 0.000 0.500 0.000
Nb: 0.500 0.000 0.000
Au: 0.500 0.500 0.500
Se: 0.000 0.000 0.000

Values from the calculation:
Raw formation energy ... 3.30 eV/f.u.
Raw total energy ... -33.7 eV per cell
Space group ... Pm-3m
Offset from the most stable computed form ... 0 meV per atom


[14]
A relaxed structure of MnCoAg, computed with PBE-GGA.

a b c (Å): 5.341 5.341 5.341
angles (deg): 148.25 148.25 45.52
Positions (direct):
Mn: 0.000 0.000 0.000
Co: 0.621 0.621 0.000
Ag: 0.307 0.307 0.000

Values from the calculation:
Raw total energy ... -18.3 eV per cell
Space group ... I4mm
Offset from the most stable computed form ... 0 meV per atom
ΔE_f ... 292 meV per atom


[15]
A relaxed structure of LiPCl2, computed with PBE-GGA.

a b c (Å): 4.752 4.752 3.204
angles (deg): 90.00 90.00 90.00
Positions (direct):
Li: 0.000 0.000 0.000
P: 0.500 0.500 0.000
Cl: 0.000 0.500 0.500
Cl: 0.500 0.000 0.500

Values from the calculation:
Raw formation energy ... -0.83 eV/f.u.
Raw total energy ... -11.8 eV per cell
Space group ... P4/mmm
Offset from the most stable computed form ... 452 meV per atom


[16]
A relaxed structure of Sm3Sc2Pb3, computed with PBE-GGA.

a b c (Å): 9.030 9.030 6.453
angles (deg): 90.00 90.00 120.00
Positions (direct):
Sm: 0.000 0.240 0.250
Sm: 0.000 0.760 0.750
Sm: 0.240 0.000 0.250
Sm: 0.240 0.240 0.750
Sm: 0.760 0.000 0.750
Sm: 0.760 0.760 0.250
Sc: 0.333 0.667 0.000
Sc: 0.333 0.667 0.500
Sc: 0.667 0.333 0.000
Sc: 0.667 0.333 0.500
Pb: 0.000 0.401 0.750
Pb: 0.000 0.599 0.250
Pb: 0.401 0.000 0.750
Pb: 0.401 0.401 0.250
Pb: 0.599 0.000 0.250
Pb: 0.599 0.599 0.750

Values from the calculation:
Raw total energy ... -84.3 eV per cell
Space group ... P6_3/mcm
ΔE_f ... -523 meV per atom


[17]
A relaxed structure of TbPm3Nd3, computed with PBE-GGA.

a b c (Å): 9.780 9.780 5.876
angles (deg): 90.00 90.00 120.00
Positions (direct):
Tb: 0.333 0.667 0.250
Tb: 0.667 0.333 0.750
Pm: 0.046 0.238 0.250
Pm: 0.192 0.954 0.250
Pm: 0.238 0.192 0.750
Pm: 0.762 0.808 0.250
Pm: 0.808 0.046 0.750
Pm: 0.954 0.762 0.750
Nd: 0.095 0.476 0.750
Nd: 0.381 0.905 0.750
Nd: 0.476 0.381 0.250
Nd: 0.524 0.619 0.750
Nd: 0.619 0.095 0.250
Nd: 0.905 0.524 0.250

Values from the calculation:
Raw total energy ... -66.0 eV per cell
Space group ... P6_3/m
Offset from the most stable computed form ... 0 meV per atom
ΔE_f ... 27 meV per atom


[18]
A relaxed structure of ScC3, computed with PBE-GGA.

a b c (Å): 6.792 6.792 2.699
angles (deg): 90.00 90.00 138.37
Positions (direct):
Sc: 0.167 0.833 0.750
Sc: 0.833 0.167 0.250
C: 0.245 0.463 0.750
C: 0.323 0.677 0.250
C: 0.463 0.245 0.250
C: 0.537 0.755 0.750
C: 0.677 0.323 0.750
C: 0.755 0.537 0.250

Values from the calculation:
Raw total energy ... -60.8 eV per cell
Space group ... Cmcm
Offset from the most stable computed form ... 650 meV per atom
ΔE_f ... 899 meV per atom


[19]
A relaxed structure of Cr2Os, computed with PBE-GGA.

a b c (Å): 6.071 6.071 3.958
angles (deg): 90.00 90.00 120.00
Positions (direct):
Cr: 0.000 0.248 0.000
Cr: 0.000 0.581 0.500
Cr: 0.248 0.000 0.000
Cr: 0.419 0.419 0.500
Cr: 0.581 0.000 0.500
Cr: 0.752 0.752 0.000
Os: 0.000 0.000 0.500
Os: 0.333 0.667 0.000
Os: 0.667 0.333 0.000

Values from the calculation:
Raw total energy ... -87.2 eV per cell
Space group ... P-62m
ΔE_f ... 472 meV per atom


[20]
A relaxed structure of Rb3Hg2AuBr9, computed with PBE-GGA.

a b c (Å): 7.877 7.877 9.679
angles (deg): 90.00 90.00 120.00
Positions (direct):
Rb: 0.000 0.000 0.000
Rb: 0.333 0.667 0.669
Rb: 0.667 0.333 0.331
Hg: 0.333 0.667 0.173
Hg: 0.667 0.333 0.827
Au: 0.000 0.000 0.500
Br: 0.000 0.500 0.000
Br: 0.163 0.325 0.340
Br: 0.163 0.837 0.340
Br: 0.325 0.163 0.660
Br: 0.500 0.000 0.000
Br: 0.500 0.500 0.000
Br: 0.675 0.837 0.340
Br: 0.837 0.163 0.660
Br: 0.837 0.675 0.660

Values from the calculation:
Raw formation energy ... -13.04 eV/f.u.
Raw total energy ... -34.9 eV per cell
Space group ... P-3m1